Density functional theory data (PBE with a Hubbard U) for a relaxed structure of Li2MnCuF6.

Properties
Its size of the total moment is 4.00 μB per formula unit. Its total DFT energy (no corrections) is -4.86 eV/atom. The space-group type is Fm-3m.

Cell lengths 5.7386, 5.7386, 5.7386 Å; angles 60.00, 60.00, 60.00 degrees
Fractional positions:
Li  0.2500  0.2500  0.2500
Li  0.7500  0.7500  0.7500
Mn  0.0000  0.0000  0.0000
Cu  0.5000  0.5000  0.5000
F  0.2509  0.2509  0.7491
F  0.2509  0.7491  0.2509
F  0.2509  0.7491  0.7491
F  0.7491  0.2509  0.2509
F  0.7491  0.2509  0.7491
F  0.7491  0.7491  0.2509